MgZnSnHg: optimized geometry, PBE.

Results
total magnetization: 0.00 μB per formula unit
energy of formation from the pure elements: 15 meV/atom

a = 4.9946 Å, b = 4.9946 Å, c = 4.9946 Å
α = 60.00°, β = 60.00°, γ = 60.00°
With the nearest neighbours (Å) after each atom.
Element x y z (fractional)
Hg1 0.7500 0.7500 0.7500  4 Mg 3.06, 4 Zn 3.06
Zn1 0.0000 0.0000 0.0000  4 Sn 3.06, 4 Hg 3.06
Sn1 0.2500 0.2500 0.2500  4 Mg 3.06, 4 Zn 3.06
Mg1 0.5000 0.5000 0.5000  4 Hg 3.06, 4 Sn 3.06